1.
Crystalline Pr3Nd12Sc at its relaxed geometry. Source: Alexandria, functional GGA-PBE.

Output
The space group is No. 123. The total magnetization is 0.00 μB per atom. The calculation puts the formation energy at 0.33 eV/f.u.

Structure (CIF):
```
data_Pr3Nd12Sc
_chemical_formula_sum 'Pr3 Nd12 Sc1'
_space_group_name_H-M_alt 'P 1'
_space_group_IT_number 1
_space_group_name_Hall 'P 1'
_cell_length_a 5.1811
_cell_length_b 5.1811
_cell_length_c 20.6878
_cell_angle_alpha 90.00
_cell_angle_beta 90.00
_cell_angle_gamma 90.00
loop_
_atom_site_label
_atom_site_fract_x
_atom_site_fract_y
_atom_site_fract_z
_atom_site_occupancy
Pr1 0.0000 0.0000 0.2460 1
Pr2 0.0000 0.0000 0.5000 1
Pr3 0.0000 0.0000 0.7540 1
Nd1 0.5000 0.5000 0.0000 1
Nd2 0.5000 0.5000 0.2456 1
Nd3 0.5000 0.5000 0.5000 1
Nd4 0.5000 0.5000 0.7544 1
Nd5 0.5000 0.0000 0.1194 1
Nd6 0.5000 0.0000 0.3731 1
Nd7 0.5000 0.0000 0.6269 1
Nd8 0.5000 0.0000 0.8806 1
Nd9 0.0000 0.5000 0.1194 1
Nd10 0.0000 0.5000 0.3731 1
Nd11 0.0000 0.5000 0.6269 1
Nd12 0.0000 0.5000 0.8806 1
Sc1 0.0000 0.0000 0.0000 1
```



2.
Crystalline Pr2NdSc at its relaxed geometry. Source: Alexandria, functional GGA-PBE.

Output
As for the relative energy among the computed polymorphs: 0.0161 eV per atom. The space group is No. 166. The total magnetization is 0.00 μB per atom. The calculation puts the formation energy at 0.22 eV/f.u.

Structure (CIF):
```
data_Pr2NdSc
_chemical_formula_sum 'Pr2 Nd1 Sc1'
_space_group_name_H-M_alt 'P 1'
_space_group_IT_number 1
_space_group_name_Hall 'P 1'
_cell_length_a 3.6119
_cell_length_b 3.6119
_cell_length_c 11.7774
_cell_angle_alpha 81.18
_cell_angle_beta 81.18
_cell_angle_gamma 60.00
loop_
_atom_site_label
_atom_site_fract_x
_atom_site_fract_y
_atom_site_fract_z
_atom_site_occupancy
Pr1 0.7454 0.7454 0.7637 1
Pr2 0.2546 0.2546 0.2363 1
Sc1 0.0000 0.0000 0.0000 1
Nd1 0.5000 0.5000 0.5000 1
```



3.
Crystalline Pr9Nd2Sc at its relaxed geometry. Source: Alexandria, functional GGA-PBE.

Output
The space group is No. 123. The total magnetization is 0.00 μB per atom. The calculation puts the formation energy at 0.30 eV/f.u.

Structure (CIF):
```
data_Pr9Nd2Sc
_chemical_formula_sum 'Pr9 Nd2 Sc1'
_space_group_name_H-M_alt 'P 1'
_space_group_IT_number 1
_space_group_name_Hall 'P 1'
_cell_length_a 5.1910
_cell_length_b 5.1910
_cell_length_c 15.5801
_cell_angle_alpha 90.00
_cell_angle_beta 90.00
_cell_angle_gamma 90.00
loop_
_atom_site_label
_atom_site_fract_x
_atom_site_fract_y
_atom_site_fract_z
_atom_site_occupancy
Pr1 0.5000 0.5000 0.0000 1
Pr2 0.5000 0.5000 0.3305 1
Pr3 0.5000 0.5000 0.6695 1
Pr4 0.5000 0.0000 0.1609 1
Pr5 0.5000 0.0000 0.5000 1
Pr6 0.5000 0.0000 0.8391 1
Pr7 0.0000 0.5000 0.1609 1
Pr8 0.0000 0.5000 0.5000 1
Pr9 0.0000 0.5000 0.8391 1
Nd1 0.0000 0.0000 0.3301 1
Nd2 0.0000 0.0000 0.6699 1
Sc1 0.0000 0.0000 0.0000 1
```



> total magnetization of number 1 (Pr3Nd12Sc)?

0.00 μB per atom



> What is the formula in the second record?

Pr2NdSc



> total magnetization of number 2 (Pr2NdSc)?

0.00 μB per atom